No. 1
Material: Li2Ac3US6
Method: DFT, PBE-GGA
State: relaxed

- Space group: P-3m1 (164)

Lattice parameters (Å, degrees): 7.0344 7.0344 7.6050 90.00 90.00 120.00
Last column: nearest neighbours and their distance in Å.
Positions (direct):
Ac1 0.0000 0.0000 0.0000  6 S 3.04
Ac2 0.6667 0.3333 0.4169  3 S 2.98
Ac3 0.3333 0.6667 0.5831  3 S 2.98
S1 0.1724 0.3448 0.2882  1 Li 2.37, 1 U 2.65
S2 0.6552 0.8276 0.2882  1 Li 2.37, 1 U 2.65
S3 0.8276 0.6552 0.7118  1 Li 2.37, 1 U 2.65
S4 0.3448 0.1724 0.7118  1 Li 2.37, 1 U 2.65
S5 0.8276 0.1724 0.7118  1 Li 2.37, 1 U 2.65
S6 0.1724 0.8276 0.2882  1 Li 2.37, 1 U 2.65
Li1 0.3333 0.6667 0.1132  3 S 2.37
Li2 0.6667 0.3333 0.8868  3 S 2.37
U1 0.0000 0.0000 0.5000  6 S 2.65


No. 2
Material: LaPaGa5
Method: DFT, PBE-GGA
State: relaxed

- Space group: P4/mmm (123)
- Formation enthalpy at 0 K: -0.134 eV/atom

Lattice parameters (Å, degrees): 4.9400 4.9400 6.7073 90.00 90.00 90.00
Last column: nearest neighbours and their distance in Å.
Positions (direct):
Pa1 0.5000 0.5000 0.0000  8 Ga 2.92
Ga1 0.5000 0.5000 0.5000  8 Ga 3.06, 2 Pa 3.35
Ga2 0.5000 0.0000 0.7688  2 Pa 2.92, 2 La 3.06, 3 Ga 3.06-3.10
Ga3 0.5000 0.0000 0.2312  2 Pa 2.92, 2 La 3.06, 3 Ga 3.06-3.10
Ga4 0.0000 0.5000 0.7688  2 Pa 2.92, 3 Ga 3.06-3.10, 2 La 3.06
Ga5 0.0000 0.5000 0.2312  2 Pa 2.92, 3 Ga 3.06-3.10, 2 La 3.06
La1 0.0000 0.0000 0.5000  8 Ga 3.06


No. 3
Material: YAsRh3
Method: DFT, PBE-GGA
State: relaxed

- Space group: I4mm (107)
- Formation enthalpy at 0 K: -0.707 eV/atom
- Excess energy over the best structure of this formula in the dataset: 0 meV/atom

Lattice parameters (Å, degrees): 4.0259 4.0251 6.1526 70.90 70.90 90.00
Last column: nearest neighbours and their distance in Å.
Positions (direct):
As1 0.0212 0.8246 0.6631  5 Rh 2.33-2.42
Y1 0.3894 0.1929 0.9266  4 Rh 2.98, 4 As 3.19
Rh1 0.6447 0.9481 0.4160  2 As 2.42, 2 Rh 2.69
Rh2 0.1447 0.4482 0.4160  2 As 2.42, 2 Rh 2.69
Rh3 0.8079 0.6114 0.0895  1 As 2.33


No. 4
Material: PuThMgPb
Method: DFT, PBE-GGA
State: relaxed

- Space group: F-43m (216)
- Formation enthalpy at 0 K: 0.036 eV/atom

Lattice parameters (Å, degrees): 5.4561 5.4561 5.4561 60.00 60.00 60.00
Last column: nearest neighbours and their distance in Å.
Positions (direct):
Mg1 0.0000 0.0000 0.0000  4 Pu 3.34, 4 Th 3.34
Pb1 0.5000 0.5000 0.5000  4 Pu 3.34, 4 Th 3.34
Th1 0.2500 0.2500 0.2500  4 Pb 3.34, 4 Mg 3.34
Pu1 0.7500 0.7500 0.7500  4 Mg 3.34, 4 Pb 3.34


Number 1: magnetic moment 1.8 Bohr magnetons per cell, energy -5.81 eV/atom. Number 2: magnetic moment 0.0 Bohr magnetons per cell, energy -4.36 eV/atom. Number 3: magnetic moment 0.0 Bohr magnetons per cell, energy -7.34 eV/atom. Number 4: magnetic moment 6.4 Bohr magnetons per cell, energy -6.73 eV/atom.